[1]
## CaNiBr2 (PBE)

Data for a relaxed CaNiBr2 crystal.

Properties
E_form (uncorrected)   -397.6 meV/atom
D(E_F)   4.94 states/eV/f.u.
Energy relative to the lowest polymorph listed for this composition   0.652 eV per atom

abc: 8.723 8.723 8.723
angles: 26.01 26.01 26.01
Site moments in Bohr magnetons follow the coordinates.
Fractional coordinates of all 4 atoms:
Ni1 0.500 0.500 0.500  0.99
Ca1 0.000 0.000 0.000  -0.01
Br1 0.887 0.887 0.887  0.07
Br2 0.113 0.113 0.113  0.07



[2]
## CaNiBr2 (PBE)

Data for a relaxed CaNiBr2 crystal.

Properties
E_form (uncorrected)   -920.8 meV/atom
D(E_F)   0.46 states/eV/f.u.
Energy relative to the lowest polymorph listed for this composition   0.129 eV per atom

abc: 4.062 4.075 7.888
angles: 104.51 90.22 119.78
Fractional coordinates of all 4 atoms:
Ni1 0.582 0.304 0.333
Ca1 0.833 0.811 0.082
Br1 0.261 0.664 0.367
Br2 0.092 0.329 0.857